This record from Alexandria via LeMat-Bulk describes Hg2H6CN3Cl5 at its PBEsol-relaxed geometry. The functional is meta-GGA SCAN.

Geometry as CIF:
```
data_Hg2H6CN3Cl5
_symmetry_space_group_name_H-M 'C 2 2 21'
_symmetry_Int_Tables_number 20
_cell_length_a 4.0149
_cell_length_b 14.7786
_cell_length_c 18.5512
_cell_angle_alpha 90.00
_cell_angle_beta 90.00
_cell_angle_gamma 90.00
loop_
_symmetry_equiv_pos_as_xyz
'x,y,z'
'-x,-y,z+1/2'
'x,-y,-z'
'-x,y,-z+1/2'
'x+1/2,y+1/2,z'
'-x+1/2,-y+1/2,z+1/2'
'x+1/2,-y+1/2,-z'
'-x+1/2,y+1/2,-z+1/2'
loop_
_atom_site_label
_atom_site_fract_x
_atom_site_fract_y
_atom_site_fract_z
_atom_site_occupancy
Hg1 0.1394 0.1315 0.4646 1
H1 0.0644 0.2487 0.2945 1
H2 0.0752 0.4874 0.3135 1
H3 0.2480 0.3871 0.3462 1
C1 0.0000 0.3757 0.2500 1
N1 0.0000 0.2856 0.2500 1
N2 0.1347 0.4211 0.3050 1
Cl1 0.1081 0.2035 0.5780 1
Cl2 0.1322 0.5000 0.5000 1
Cl3 0.1492 0.1011 0.3408 1
```

Volume = 1100.7 Å³/cell
Electronic total energy = -14.36 eV per atom
Size of the total moment = 0.00 μB/f.u.

---

This record from Alexandria via LeMat-Bulk describes MnH18C4N8Cl4O4 at its PBEsol-relaxed geometry. The functional is meta-GGA SCAN.

Geometry as CIF:
```
data_MnH18C4N8Cl4O4
_symmetry_space_group_name_H-M 'P 1 21/c 1'
_symmetry_Int_Tables_number 14
_cell_length_a 6.3043
_cell_length_b 11.2455
_cell_length_c 11.8595
_cell_angle_alpha 90.00
_cell_angle_beta 106.97
_cell_angle_gamma 90.00
loop_
_symmetry_equiv_pos_as_xyz
'x,y,z'
'-x,-y,-z'
'-x,y+1/2,-z+1/2'
'x,-y+1/2,z+1/2'
loop_
_atom_site_label
_atom_site_fract_x
_atom_site_fract_y
_atom_site_fract_z
_atom_site_occupancy
Mn1 0.0000 0.0000 0.0000 1
H1 0.1160 0.0014 0.7510 1
H2 0.1883 0.6844 0.3146 1
H3 0.2014 0.7011 0.7128 1
H4 0.2206 0.7209 0.5047 1
H5 0.2249 0.1922 0.7703 1
H6 0.2532 0.2310 0.1445 1
H7 0.2869 0.5031 0.9953 1
H8 0.3198 0.1568 0.4917 1
H9 0.3759 0.6155 0.4901 1
C1 0.2176 0.6285 0.1540 1
C2 0.2426 0.0875 0.6328 1
N1 0.1961 0.7094 0.2314 1
N2 0.1999 0.5117 0.1883 1
N3 0.2291 0.1911 0.6840 1
N4 0.2928 0.0799 0.5322 1
Cl1 0.2059 0.5015 0.7110 1
Cl2 0.2757 0.1452 0.9592 1
O1 0.2167 0.6394 0.4650 1
O2 0.2492 0.6515 0.0560 1
```

Volume = 804.2 Å³/cell
Electronic total energy = -7.16 eV per atom
Size of the total moment = 5.00 μB/f.u.

---

This record from Alexandria via LeMat-Bulk describes ReH22C4S4N8Cl8O3 at its PBEsol-relaxed geometry. The functional is meta-GGA SCAN.

Geometry as CIF:
```
data_ReH22C4S4N8Cl8O3
_symmetry_space_group_name_H-M 'C m c m'
_symmetry_Int_Tables_number 63
_symmetry_space_group_name_Hall '-C 2c 2'
_cell_length_a 11.4212
_cell_length_b 13.3332
_cell_length_c 16.4881
_cell_angle_alpha 90.00
_cell_angle_beta 90.00
_cell_angle_gamma 90.00
loop_
_atom_site_label
_atom_site_fract_x
_atom_site_fract_y
_atom_site_fract_z
_atom_site_occupancy
Re1 0.0000 0.1558 0.2500 1
H1 0.0000 0.4229 0.7015 1
H2 0.1025 0.2136 0.0119 1
H3 0.1221 0.4603 0.2500 1
H4 0.1393 0.2312 0.6279 1
H5 0.1645 0.1118 0.0646 1
H6 0.2406 0.1432 0.6757 1
H7 0.2481 0.0015 0.7500 1
C1 0.2114 0.1256 0.5551 1
S1 0.1875 0.4758 0.0581 1
N1 0.1585 0.1533 0.0123 1
N2 0.1983 0.1719 0.6245 1
Cl1 0.0000 0.0301 0.1497 1
Cl2 0.0000 0.2799 0.1488 1
Cl3 0.0000 0.3320 0.5932 1
Cl4 0.2064 0.1536 0.2500 1
O1 0.0000 0.4680 0.7500 1
O2 0.2056 0.4352 0.2500 1
```

Volume = 2510.8 Å³/cell
Electronic total energy = -8.20 eV per atom
Size of the total moment = 3.00 μB/f.u.

---

This record from Alexandria via LeMat-Bulk describes ZnH8C2N4Cl2O2 at its PBEsol-relaxed geometry. The functional is meta-GGA SCAN.

Geometry as CIF:
```
data_ZnH8C2N4Cl2O2
_symmetry_space_group_name_H-M 'P -1'
_symmetry_Int_Tables_number 2
_cell_length_a 6.1593
_cell_length_b 6.6927
_cell_length_c 11.6401
_cell_angle_alpha 88.37
_cell_angle_beta 76.98
_cell_angle_gamma 66.92
loop_
_symmetry_equiv_pos_as_xyz
'x,y,z'
'-x,-y,-z'
loop_
_atom_site_label
_atom_site_fract_x
_atom_site_fract_y
_atom_site_fract_z
_atom_site_occupancy
Zn1 0.0205 0.1630 0.2514 1
H1 0.1730 0.3754 0.7258 1
H2 0.1739 0.4560 0.9238 1
H3 0.2165 0.7428 0.4310 1
H4 0.2514 0.4688 0.4145 1
H5 0.3275 0.8454 0.9532 1
H6 0.4460 0.1740 0.6461 1
H7 0.4969 0.3270 0.9008 1
H8 0.4988 0.1908 0.1921 1
C1 0.3050 0.3131 0.0661 1
C2 0.4453 0.4797 0.6563 1
N1 0.3224 0.5848 0.4012 1
N2 0.3268 0.3731 0.9555 1
N3 0.3414 0.3351 0.6714 1
N4 0.4944 0.8058 0.8966 1
Cl1 0.0845 0.8596 0.1526 1
Cl2 0.2007 0.1365 0.4009 1
O1 0.0922 0.3676 0.1354 1
O2 0.3291 0.6796 0.6955 1
```

Volume = 429.1 Å³/cell
Electronic total energy = -7.39 eV per atom
Size of the total moment = 0.00 μB/f.u.

---

This record from Alexandria via LeMat-Bulk describes H6PbCNCl3 at its PBEsol-relaxed geometry. The functional is meta-GGA SCAN.

Geometry as CIF:
```
data_H6PbCNCl3
_symmetry_space_group_name_H-M 'P 1 m 1'
_symmetry_Int_Tables_number 6
_cell_length_a 5.6269
_cell_length_b 5.5977
_cell_length_c 5.7702
_cell_angle_alpha 90.00
_cell_angle_beta 91.00
_cell_angle_gamma 90.00
loop_
_symmetry_equiv_pos_as_xyz
'x,y,z'
'x,-y,z'
loop_
_atom_site_label
_atom_site_fract_x
_atom_site_fract_y
_atom_site_fract_z
_atom_site_occupancy
H1 0.0000 0.0000 0.0000 1
H2 0.0939 0.1515 0.2331 1
H3 0.6623 0.1614 0.2150 1
H4 0.7694 0.0000 0.4653 1
Pb1 0.3266 0.5000 0.7451 1
C1 0.7561 0.0000 0.2751 1
N1 0.9984 0.0000 0.1804 1
Cl1 0.2741 0.0000 0.7020 1
Cl2 0.2891 0.5000 0.2525 1
Cl3 0.8245 0.5000 0.8046 1
```

Volume = 181.7 Å³/cell
Electronic total energy = -12.30 eV per atom
Size of the total moment = 0.00 μB/f.u.

---

This record from Alexandria via LeMat-Bulk describes H16PtC4N2Cl6 at its PBEsol-relaxed geometry. The functional is meta-GGA SCAN.

Geometry as CIF:
```
data_H16PtC4N2Cl6
_symmetry_space_group_name_H-M 'C 1 2/m 1'
_symmetry_Int_Tables_number 12
_cell_length_a 13.1210
_cell_length_b 9.8688
_cell_length_c 6.9447
_cell_angle_alpha 90.00
_cell_angle_beta 120.45
_cell_angle_gamma 90.00
loop_
_symmetry_equiv_pos_as_xyz
'x,y,z'
'-x,-y,-z'
'-x,y,-z'
'x,-y,z'
'x+1/2,y+1/2,z'
'-x+1/2,-y+1/2,-z'
'-x+1/2,y+1/2,-z'
'x+1/2,-y+1/2,z'
loop_
_atom_site_label
_atom_site_fract_x
_atom_site_fract_y
_atom_site_fract_z
_atom_site_occupancy
H1 0.1310 0.0000 0.1984 1
H2 0.1485 0.3728 0.7405 1
H3 0.1762 0.0000 0.0121 1
H4 0.1962 0.3726 0.5385 1
H5 0.2181 0.2134 0.1992 1
Pt1 0.0000 0.0000 0.5000 1
C1 0.2254 0.3747 0.7173 1
N1 0.2062 0.0000 0.1833 1
Cl1 0.0081 0.1638 0.2688 1
Cl2 0.2051 0.0000 0.7175 1
```

Volume = 775.2 Å³/cell
Electronic total energy = -8.44 eV per atom
Size of the total moment = 0.00 μB/f.u.